Entry from Alexandria via LeMat-Bulk: a relaxed CrSNO2 crystal (PBE with a Hubbard U).

Cell: 3.5683 3.5683 3.8882 Å, 90.00 90.00 90.00°
Closest atoms and distances in Å follow each position.
Space group P4/mmm (No. 123)
One atom of each set of equivalent atoms:
Cr 0.0000 0.0000 0.0000  4 N 2.52, 8 O 2.64
S 0.5000 0.5000 0.5000  4 O 1.78, 2 N 1.94
N 0.5000 0.5000 0.0000  2 S 1.94
O 0.0000 0.5000 0.5000  2 S 1.78

Calculated values
Calculated volume, Å³ per atom: 9.9
Total energy, eV/atom: -5.634